The following is a DFT calculation (PBEsol) of YRe2Mo after structural relaxation.

Unit cell a=5.3254 b=5.3254 c=2.7821 alpha=100.16 beta=100.16 gamma=117.18
Sites, in units of the cell vectors:
Y  0.0000  0.0000  0.0000
Re  0.0000  0.5000  0.5000
Re  0.5000  0.0000  0.5000
Mo  0.5000  0.5000  0.0000

Results
Total DFT energy (no corrections) = -43.85 eV/cell
D(E_F) = 2.99 states/eV per cell